{"formula": "HgPBr2", "functional": "GGA-PBE", "state": "relaxed", "cell": [[-2.7305, 5.9368, 2.1963], [2.7305, -5.9368, 2.1963], [2.7305, 5.9368, -2.1963]], "species": ["Hg", "P", "Br", "Br"], "fractional_positions": [[0.0000, 0.0000, 0.0000], [0.0327, 0.5327, 0.5000], [0.2059, 0.8569, 0.3490], [0.5079, 0.8569, 0.6510]], "spacegroup": "Imm2, No. 44", "raw_formation_energy_mev_per_atom": -124, "de_polymorph_kj_per_mol_fu": 40}